Entry 1:
Material: BaCaHg11
Method: DFT, GGA-PBE
State: relaxed

Fermi-level density of states = 0.5215 states/eV per atom
DFT total energy = -10.10 eV/cell
total magnetic moment = 0.00 μB per formula unit
space group = C2/m (12)

a = 6.4575 Å, b = 8.3661 Å, c = 7.9288 Å
α = 81.55°, β = 65.97°, γ = 68.84°
Closest atoms and distances in Å follow each position.
Fractional positions:
1 Hg 0.6457 0.3511 0.3519  6 Hg 3.16-3.47, 1 Ca 3.24
2 Hg 0.5081 0.2118 0.7820  6 Hg 3.08-3.30, 1 Ca 3.14
3 Hg 0.4919 0.7882 0.2180  6 Hg 3.08-3.30, 1 Ca 3.14
4 Hg 0.0000 0.0000 0.5000  10 Hg 3.08-3.40
5 Hg 0.5000 0.0000 0.5000  10 Hg 3.08-3.40
6 Ca 0.5000 0.5000 0.0000  10 Hg 3.14-3.24
7 Hg 0.9976 0.3511 0.6481  6 Hg 3.16-3.47, 1 Ca 3.24
8 Hg 0.0024 0.6489 0.3519  6 Hg 3.16-3.47, 1 Ca 3.24
9 Hg 0.0000 0.5000 0.0000  8 Hg 3.23, 2 Ca 3.23
10 Hg 0.7099 0.7882 0.7820  6 Hg 3.08-3.30, 1 Ca 3.14
11 Hg 0.2901 0.2118 0.2180  6 Hg 3.08-3.30, 1 Ca 3.14
12 Hg 0.3543 0.6489 0.6481  6 Hg 3.16-3.47, 1 Ca 3.24
13 Ba 0.0000 0.0000 0.0000  18 Hg 3.74-4.18

---

Entry 2:
Material: CrPt2Se
Method: DFT, GGA-PBE
State: relaxed

Fermi-level density of states = 0.7322 states/eV per atom
DFT total energy = -24.54 eV/cell
total magnetic moment = 2.99 μB per formula unit
ΔE_f (raw) = 0.162 eV per atom
space group = F-43m (216)

a = 4.5017 Å, b = 4.5017 Å, c = 4.5017 Å
α = 60.00°, β = 60.00°, γ = 60.00°
Closest atoms and distances in Å follow each position.
Fractional positions:
1 Pt 0.0000 0.0000 0.0000  4 Pt 2.76, 4 Se 2.76
2 Cr 0.5000 0.5000 0.5000  4 Se 2.76, 4 Pt 2.76
3 Se 0.7500 0.7500 0.7500  4 Cr 2.76, 4 Pt 2.76
4 Pt 0.2500 0.2500 0.2500  4 Cr 2.76, 4 Pt 2.76

---

Entry 3:
Material: CaP
Method: DFT, GGA-PBE
State: relaxed

Fermi-level density of states = 0.0984 states/eV per atom
DFT total energy = -148.82 eV/cell
total magnetic moment = 0.00 μB per formula unit
space group = Fddd (70)

a = 11.9438 Å, b = 6.6110 Å, c = 9.3857 Å
α = 90.00°, β = 90.00°, γ = 90.00°
Closest atoms and distances in Å follow each position.
Fractional positions:
1 Ca 0.0000 0.0000 0.2156  6 P 2.90-3.05
2 P 0.7500 0.9214 0.2500  1 P 2.27
3 P 0.5000 0.8286 0.0000  1 P 2.27
4 Ca 0.0000 0.5000 0.2844  6 P 2.90-3.05
5 P 0.5000 0.1714 0.0000  1 P 2.27
6 Ca 0.5000 0.0000 0.2844  6 P 2.90-3.05
7 P 0.2500 0.9214 0.7500  1 P 2.27
8 P 0.7500 0.4214 0.7500  1 P 2.27
9 Ca 0.0000 0.0000 0.7844  6 P 2.90-3.05
10 P 0.2500 0.5786 0.7500  1 P 2.27
11 Ca 0.2500 0.7500 0.0344  6 P 2.90-3.05
12 Ca 0.7500 0.2500 0.4656  6 P 2.90-3.05
13 Ca 0.0000 0.5000 0.7156  6 P 2.90-3.05
14 Ca 0.7500 0.7500 0.5344  6 P 2.90-3.05
15 Ca 0.5000 0.0000 0.7156  6 P 2.90-3.05
16 P 0.7500 0.0786 0.7500  1 P 2.27
17 P 0.7500 0.5786 0.2500  1 P 2.27
18 P 0.0000 0.1714 0.5000  1 P 2.27
19 Ca 0.2500 0.2500 0.9656  6 P 2.90-3.05
20 Ca 0.2500 0.2500 0.5344  6 P 2.90-3.05
21 P 0.5000 0.6714 0.5000  1 P 2.27
22 P 0.0000 0.6714 0.0000  1 P 2.27
23 Ca 0.5000 0.5000 0.7844  6 P 2.90-3.05
24 P 0.5000 0.3286 0.5000  1 P 2.27
25 P 0.2500 0.0786 0.2500  1 P 2.27
26 P 0.0000 0.8286 0.5000  1 P 2.27
27 P 0.0000 0.3286 0.0000  1 P 2.27
28 Ca 0.7500 0.7500 0.9656  6 P 2.90-3.05
29 Ca 0.7500 0.2500 0.0344  6 P 2.90-3.05
30 Ca 0.5000 0.5000 0.2156  6 P 2.90-3.05
31 P 0.2500 0.4214 0.2500  1 P 2.27
32 Ca 0.2500 0.7500 0.4656  6 P 2.90-3.05

---

Entry 4:
Material: Zn3Fe2
Method: DFT, GGA-PBE
State: relaxed

Fermi-level density of states = 0.2853 states/eV per atom
DFT total energy = -20.73 eV/cell
total magnetic moment = 4.72 μB per formula unit
ΔE to the lowest computed polymorph = 0.00 kJ per mole of atoms
space group = I4/mmm (139)

a = 2.5927 Å, b = 2.5927 Å, c = 9.8987 Å
α = 97.53°, β = 97.53°, γ = 90.00°
Closest atoms and distances in Å follow each position.
Fractional positions:
1 Zn 0.5000 0.5000 0.0000  4 Zn 2.59, 8 Fe 2.65
2 Zn 0.6954 0.6954 0.3907  8 Zn 2.59-2.81, 4 Fe 2.63
3 Fe 0.9016 0.9016 0.8032  4 Fe 2.59, 8 Zn 2.63-2.65
4 Zn 0.3046 0.3046 0.6093  8 Zn 2.59-2.81, 4 Fe 2.63
5 Fe 0.0984 0.0984 0.1968  4 Fe 2.59, 8 Zn 2.63-2.65

---

Entry 5:
Material: Sm2Ho4Er
Method: DFT, GGA-PBE
State: relaxed

Fermi-level density of states = 1.7155 states/eV per atom
DFT total energy = -62.67 eV/cell
total magnetic moment = 0.01 μB per formula unit
space group = P2_1/m (11)

a = 6.0645 Å, b = 6.5887 Å, c = 11.5348 Å
α = 90.00°, β = 104.23°, γ = 90.00°
Closest atoms and distances in Å follow each position.
Fractional positions:
1 Sm 0.2903 0.2500 0.4330  9 Ho 3.33-3.54
2 Er 0.8491 0.2500 0.8469  6 Ho 3.31-3.44, 2 Sm 3.38-3.63
3 Er 0.1509 0.7500 0.1531  6 Ho 3.31-3.44, 2 Sm 3.38-3.63
4 Ho 0.9871 0.2500 0.1499  3 Sm 3.33-3.55, 2 Ho 3.35, 3 Er 3.39-3.44
5 Sm 0.3984 0.2500 0.0034  6 Ho 3.34-3.69, 2 Er 3.38-3.63, 2 Sm 3.52
6 Ho 0.1473 0.7500 0.4392  1 Er 3.31, 4 Sm 3.34-3.41, 4 Ho 3.51
7 Ho 0.3541 0.0037 0.7116  5 Ho 3.25-3.51, 1 Er 3.43, 2 Sm 3.46-3.54
8 Ho 0.8527 0.2500 0.5608  1 Er 3.31, 4 Sm 3.34-3.41, 4 Ho 3.51
9 Ho 0.6459 0.5037 0.2884  5 Ho 3.25-3.51, 1 Er 3.43, 2 Sm 3.46-3.54
10 Ho 0.0129 0.7500 0.8501  3 Sm 3.33-3.55, 2 Ho 3.35, 3 Er 3.39-3.44
11 Sm 0.6016 0.7500 0.9966  6 Ho 3.34-3.69, 2 Er 3.38-3.63, 2 Sm 3.52
12 Ho 0.3541 0.4963 0.7116  5 Ho 3.25-3.51, 1 Er 3.43, 2 Sm 3.46-3.54
13 Sm 0.7097 0.7500 0.5670  9 Ho 3.33-3.54
14 Ho 0.6459 0.9963 0.2884  5 Ho 3.25-3.51, 1 Er 3.43, 2 Sm 3.46-3.54

---

Entry 6:
Material: PrSmNi3
Method: DFT, GGA-PBE
State: relaxed

Fermi-level density of states = 1.0032 states/eV per atom
DFT total energy = -56.95 eV/cell
total magnetic moment = 0.00 μB per formula unit
space group = Cmcm (63)

a = 4.0469 Å, b = 3.9988 Å, c = 12.4316 Å
α = 99.26°, β = 90.00°, γ = 90.00°
Closest atoms and distances in Å follow each position.
Fractional positions:
1 Ni 0.7500 0.3262 0.6524  2 Ni 2.41
2 Pr 0.2500 0.0709 0.1418  12 Ni 3.06-3.22
3 Pr 0.7500 0.9291 0.8582  12 Ni 3.06-3.22
4 Ni 0.2500 0.6738 0.3476  2 Ni 2.41
5 Ni 0.2500 0.3797 0.7593  3 Ni 2.35-2.41
6 Sm 0.2500 0.7971 0.5943  7 Ni 2.85-3.03
7 Ni 0.2500 0.4754 0.9509  3 Ni 2.35-2.36
8 Sm 0.7500 0.2029 0.4057  7 Ni 2.85-3.03
9 Ni 0.7500 0.5246 0.0491  3 Ni 2.35-2.36
10 Ni 0.7500 0.6203 0.2407  3 Ni 2.35-2.41

---

Entry 7:
Material: KNd2AuO5
Method: DFT, GGA-PBE
State: relaxed

Fermi-level density of states = 0.0000 states/eV per atom
DFT total energy = -116.80 eV/cell
total magnetic moment = 0.00 μB per formula unit
ΔE_f (raw) = -2.189 eV per atom
space group = P4/mbm (127)

a = 6.0052 Å, b = 6.8508 Å, c = 6.8508 Å
α = 90.00°, β = 90.00°, γ = 90.00°
Closest atoms and distances in Å follow each position.
Fractional positions:
1 O 0.7436 0.3660 0.1340  1 Au 2.01
2 O 0.7436 0.8660 0.3660  1 Au 2.01
3 Au 0.0000 0.0000 0.5000  4 O 2.01
4 K 0.0000 0.5000 0.5000  10 O 3.00-3.08
5 O 0.7436 0.6340 0.8660  1 Au 2.01
6 O 0.5000 0.5000 0.5000  4 Nd 2.52
7 O 0.5000 0.0000 0.0000  4 Nd 2.52
8 K 0.0000 0.0000 0.0000  10 O 3.00-3.08
9 Nd 0.5000 0.1783 0.3217  8 O 2.33-2.61
10 O 0.2564 0.3660 0.1340  1 Au 2.01
11 Nd 0.5000 0.6783 0.1783  8 O 2.33-2.61
12 Nd 0.5000 0.3217 0.8217  8 O 2.33-2.61
13 Nd 0.5000 0.8217 0.6783  8 O 2.33-2.61
14 O 0.2564 0.1340 0.6340  1 Au 2.01
15 Au 0.0000 0.5000 0.0000  4 O 2.01
16 O 0.2564 0.6340 0.8660  1 Au 2.01
17 O 0.7436 0.1340 0.6340  1 Au 2.01
18 O 0.2564 0.8660 0.3660  1 Au 2.01

---

Entry 8:
Material: ZrZn4Ni
Method: DFT, GGA-PBE
State: relaxed

Fermi-level density of states = 0.6243 states/eV per atom
DFT total energy = -41.83 eV/cell
total magnetic moment = 0.00 μB per formula unit
ΔE to the lowest computed polymorph = 0.00 kJ per mole of atoms
space group = Pmma (51)

a = 4.0501 Å, b = 6.6443 Å, c = 6.8665 Å
α = 90.00°, β = 90.00°, γ = 90.00°
Closest atoms and distances in Å follow each position.
Fractional positions:
1 Zn 0.0000 0.0000 0.5000  2 Ni 2.34
2 Zr 0.0000 0.3798 0.2500  1 Ni 2.54
3 Zn 0.5000 0.0485 0.2500  8 Zn 2.67-2.77, 2 Ni 2.78, 2 Zr 2.99
4 Zn 0.5000 0.6829 0.0553  2 Ni 2.48, 4 Zn 2.55-2.77
5 Zn 0.0000 0.0000 0.0000  2 Ni 2.34
6 Zn 0.5000 0.3171 0.9447  2 Ni 2.48, 4 Zn 2.55-2.77
7 Zn 0.5000 0.9515 0.7500  8 Zn 2.67-2.77, 2 Ni 2.78, 2 Zr 2.99
8 Ni 0.0000 0.2383 0.7500  6 Zn 2.34-2.48, 1 Zr 2.54
9 Zr 0.0000 0.6202 0.7500  1 Ni 2.54
10 Zn 0.5000 0.3171 0.5553  2 Ni 2.48, 4 Zn 2.55-2.77
11 Ni 0.0000 0.7617 0.2500  6 Zn 2.34-2.48, 1 Zr 2.54
12 Zn 0.5000 0.6829 0.4447  2 Ni 2.48, 4 Zn 2.55-2.77